Record 1
{"formula": "Cr2P4Pb3O16", "functional": "GGA+U", "state": "relaxed", "cell": [[-6.002, 3.579, 5.846], [-6.773, -1.762, -5.875], [1.738, -9.239, 0.766]], "species": ["O", "O", "O", "O", "O", "O", "O", "O", "O", "O", "O", "O", "O", "O", "O", "O", "O", "O", "O", "O", "O", "O", "O", "O", "O", "O", "O", "O", "O", "O", "O", "O", "P", "P", "P", "P", "P", "P", "P", "P", "Pb", "Pb", "Pb", "Pb", "Pb", "Pb", "Cr", "Cr", "Cr", "Cr"], "fractional_positions": [[0.901, 0.251, 0.864], [0.092, 0.295, 0.736], [0.610, 0.455, 0.742], [0.099, 0.749, 0.136], [0.590, 0.784, 0.755], [0.155, 0.410, 0.007], [0.689, 0.459, 0.373], [0.081, 0.995, 0.758], [0.689, 0.041, 0.873], [0.908, 0.705, 0.264], [0.390, 0.545, 0.258], [0.393, 0.349, 0.478], [0.311, 0.541, 0.627], [0.311, 0.959, 0.127], [0.590, 0.716, 0.255], [0.155, 0.090, 0.507], [0.919, 0.005, 0.242], [0.845, 0.910, 0.493], [0.919, 0.495, 0.742], [0.410, 0.216, 0.245], [0.081, 0.505, 0.258], [0.908, 0.795, 0.764], [0.607, 0.849, 0.022], [0.099, 0.751, 0.636], [0.845, 0.590, 0.993], [0.390, 0.955, 0.758], [0.607, 0.651, 0.522], [0.393, 0.151, 0.978], [0.092, 0.205, 0.236], [0.901, 0.249, 0.364], [0.410, 0.284, 0.745], [0.610, 0.045, 0.242], [0.981, 0.639, 0.157], [0.424, 0.410, 0.640], [0.424, 0.090, 0.140], [0.576, 0.910, 0.860], [0.576, 0.590, 0.360], [0.019, 0.139, 0.343], [0.019, 0.361, 0.843], [0.981, 0.861, 0.657], [0.299, 0.792, 0.531], [0.299, 0.708, 0.031], [0.000, 0.500, 0.500], [0.701, 0.292, 0.969], [0.701, 0.208, 0.469], [0.000, 0.000, 0.000], [0.752, 0.869, 0.255], [0.248, 0.369, 0.245], [0.752, 0.631, 0.755], [0.248, 0.131, 0.745]]}

---

Record 2
{"formula": "CrP2PdO", "functional": "GGA+U", "state": "relaxed", "cell": [[4.809, 0.000, 0.000], [0.000, 4.809, 0.000], [0.000, 0.000, 3.819]], "species": ["P", "P", "Cr", "Pd", "O"], "fractional_positions": [[0.500, 0.000, 0.000], [0.000, 0.500, 0.000], [0.500, 0.500, 0.500], [0.000, 0.000, 0.000], [0.000, 0.000, 0.500]]}

---

Record 3
{"formula": "CrP2PdO", "functional": "GGA+U", "state": "relaxed", "cell": [[4.768, 0.000, 0.000], [0.000, 4.768, 0.000], [0.000, 0.000, 3.454]], "species": ["P", "P", "Pd", "Cr", "O"], "fractional_positions": [[0.000, 0.500, 0.000], [0.500, 0.000, 0.000], [0.500, 0.500, 0.500], [0.000, 0.000, 0.000], [0.000, 0.000, 0.500]]}

---

Record 4
{"formula": "CrPPdO2", "functional": "GGA+U", "state": "relaxed", "cell": [[-0.749, 1.538, 3.146], [3.049, -1.296, 1.359], [2.704, 4.653, -1.631]], "species": ["P", "Pd", "O", "O", "Cr"], "fractional_positions": [[0.000, 0.000, 0.500], [0.500, 0.500, 0.500], [0.500, 0.000, 0.000], [0.000, 0.500, 0.000], [0.000, 0.000, 0.000]]}

---

Record 5
{"formula": "CrPPdO2", "functional": "GGA+U", "state": "relaxed", "cell": [[-1.381, 3.550, 0.684], [-1.911, -1.338, 3.088], [4.047, 1.007, 2.940]], "species": ["O", "O", "Pd", "Cr", "P"], "fractional_positions": [[0.500, 0.000, 0.000], [0.000, 0.500, 0.000], [0.000, 0.000, 0.000], [0.500, 0.500, 0.500], [0.000, 0.000, 0.500]]}

---

Record 6
{"formula": "PmCrPO5", "functional": "GGA+U", "state": "relaxed", "cell": [[5.531, -0.116, 0.029], [-1.726, 5.256, 0.029], [-1.550, -2.094, 7.761]], "species": ["O", "O", "O", "O", "O", "O", "O", "O", "O", "O", "Pm", "Pm", "Cr", "Cr", "P", "P"], "fractional_positions": [[0.642, 0.049, 0.311], [0.458, 0.285, 0.100], [0.049, 0.642, 0.811], [0.542, 0.715, 0.900], [0.358, 0.951, 0.689], [0.109, 0.891, 0.250], [0.715, 0.542, 0.400], [0.891, 0.109, 0.750], [0.285, 0.458, 0.600], [0.951, 0.358, 0.189], [0.000, 0.000, 0.000], [0.000, 0.000, 0.500], [0.679, 0.321, 0.750], [0.321, 0.679, 0.250], [0.687, 0.313, 0.250], [0.313, 0.687, 0.750]]}

---

Going through the records in order, we get final energy values of -7.12 -5.17 -5.54 -6.02 -5.39 -7.76 eV per atom.
Going through the records in order, we get total magnetic moment values of 11.88 2.89 1.64 1.14 2.27 8.00 μB per cell.